4
Lattice="0.000 3.446 3.446 3.446 0.000 3.446 3.446 3.446 0.000" Properties=species:S:1:pos:R:3 comment="PBE ZrTa2I, relaxed" total_magnetization_mub_per_atom=0.000 dos_ef_per_ev_fu=4.9 e_form_raw_mev_per_atom=809 pbc="T T T"
Zr 0.000 0.000 0.000
Ta 1.723 1.723 1.723
Ta 5.169 5.169 5.169
I 3.446 3.446 3.446

4
Lattice="3.939 0.000 0.000 0.000 3.939 0.000 -0.037 0.000 9.523" Properties=species:S:1:pos:R:3 comment="PBE TbI, relaxed" total_magnetization_mub_per_atom=0.000 dos_ef_per_ev_fu=0.2 e_form_raw_mev_per_atom=-860 pbc="T T T"
Tb 0.966 0.985 3.621
Tb 2.935 2.954 5.902
I 0.966 0.985 7.600
I 2.935 2.954 1.923

5
Lattice="5.677 0.000 0.000 0.000 5.677 0.000 0.000 0.000 5.677" Properties=species:S:1:pos:R:3 comment="PBE Tb4I, relaxed" total_magnetization_mub_per_atom=0.000 dos_ef_per_ev_fu=7.6 e_form_raw_mev_per_atom=151 pbc="T T T"
Tb 0.000 0.000 0.000
Tb 0.000 2.838 2.838
Tb 2.838 0.000 2.838
Tb 2.838 2.838 0.000
I 2.838 2.838 2.838

10
Lattice="3.561 2.056 8.007 -3.561 2.056 8.007 0.000 -4.112 8.007" Properties=species:S:1:pos:R:3 comment="PBE Tb2I3, relaxed" total_magnetization_mub_per_atom=0.267 dos_ef_per_ev_fu=4.3 e_form_raw_mev_per_atom=-871 pbc="T T T"
Tb 0.000 0.000 4.094
Tb 0.000 0.000 7.917
Tb 0.000 0.000 16.105
Tb 0.000 0.000 19.928
I -2.344 0.051 10.009
I -1.217 -2.005 14.013
I 1.128 -2.056 10.009
I -1.128 2.056 14.013
I 1.217 2.005 10.009
I 2.344 -0.051 14.013